1.
# Li5Be

A geometry-optimized Li5Be structure (PBE-GGA, Alexandria).

```
Li5Be
1.0
1.9499 -5.9213 0.0000
1.9499 5.9213 0.0000
0.0000 0.0000 4.2717
Li Be
5 1
Direct
0.0000 0.0000 0.0000
0.1552 0.8448 0.5000
0.3462 0.6538 0.0000
0.6538 0.3462 0.0000
0.8448 0.1552 0.5000
0.5000 0.5000 0.5000
```

- VASP energy (eV per atom) = -2.046
- magnetization (μB/f.u.) = 0.0
- ΔE_f (eV per formula unit) = 1.021
- distance to the lowest polymorph of the same formula (meV per atom) = 25.3

2.
# Li6Be7

A geometry-optimized Li6Be7 structure (PBE-GGA, Alexandria).

```
Li6Be7
1.0
2.2580 1.3037 8.3099
-2.2580 1.3037 8.3099
0.0000 -2.6073 8.3099
Li Be
6 7
Direct
0.0518 0.0518 0.0518
0.1502 0.1502 0.1502
0.3314 0.3314 0.3314
0.6686 0.6686 0.6686
0.8498 0.8498 0.8498
0.9482 0.9482 0.9482
0.0966 0.5920 0.5920
0.4080 0.4080 0.9034
0.4080 0.9034 0.4080
0.5000 0.5000 0.5000
0.5920 0.0966 0.5920
0.5920 0.5920 0.0966
0.9034 0.4080 0.4080
```

- VASP energy (eV per atom) = -2.779
- magnetization (μB/f.u.) = 0.0
- ΔE_f (eV per formula unit) = 1.443